Arrangement P

Li2InP | the Alexandria database | PBEsol | optimized geometry; spin magnetization = 0.0 μB per formula unit; space-group type = No. 65
1.0
-1.3398 -1.9140 -1.5522
3.3779 -3.4011 1.2782
-3.6864 -0.1105 3.3181
Li P In
2 1 1
direct
0.0000 0.5000 0.0000 Li
0.0000 0.0000 0.5000 Li
0.5000 0.0000 0.0000 P
0.5000 0.5000 0.5000 In



Arrangement Q

Li2InP | the Alexandria database | PBEsol | optimized geometry; spin magnetization = 0.0 μB per formula unit; space-group type = No. 65
1.0
-0.1187 2.7307 -1.0455
0.7730 -1.1670 -2.5700
-7.6287 -1.0310 -1.8265
P Li In
1 2 1
direct
0.5000 0.5000 0.5000 P
0.0000 0.0000 0.6970 Li
0.0000 0.0000 0.3030 Li
0.5000 0.5000 0.0000 In



Which structure is the least stable? The one labeled arrangement P.



Arrangement P

Li2InP | the Alexandria database | PBEsol | optimized geometry; spin magnetization = 0.0 μB per formula unit; space-group type = No. 123
1.0
4.0212 0.0000 0.0000
0.0000 4.0212 0.0000
0.0000 0.0000 3.9912
Li P In
2 1 1
direct
0.5000 0.0000 0.0000 Li
0.0000 0.5000 0.0000 Li
0.5000 0.5000 0.5000 P
0.0000 0.0000 0.5000 In



Arrangement Q

Li2InP | the Alexandria database | PBEsol | optimized geometry; spin magnetization = 0.0 μB per formula unit; space-group type = No. 44
1.0
-2.9261 0.8675 -0.0371
-0.9601 -3.1313 2.5041
2.9288 4.6614 3.5579
In Li P
1 2 1
direct
0.1823 0.1823 0.3645 In
0.9983 0.4983 0.9966 Li
0.8248 0.8248 0.6496 Li
0.4946 0.9946 0.9893 P



Which structure is the least stable? The one labeled arrangement Q.



Arrangement P

Li2InP | the Alexandria database | PBEsol | optimized geometry; spin magnetization = 0.0 μB per formula unit; space-group type = No. 47
1.0
-1.3011 -2.3816 -0.9223
3.3917 -1.7713 -0.2108
-0.6064 -1.8232 5.5632
P In Li
1 1 2
direct
0.5000 0.5000 0.0000 P
0.5000 0.5000 0.5000 In
0.0000 0.0000 0.2059 Li
0.0000 0.0000 0.7941 Li



Arrangement Q

Li2InP | the Alexandria database | PBEsol | optimized geometry; spin magnetization = 0.0 μB per formula unit; space-group type = No. 166
1.0
-0.5383 2.4707 -1.6650
-2.6501 1.4432 0.2458
2.2561 6.3150 5.8889
Li P In
2 1 1
direct
0.7632 0.7632 0.7104 Li
0.2368 0.2368 0.2896 Li
0.5000 0.5000 0.5000 P
0.0000 0.0000 0.0000 In



Which structure is the least stable? The one labeled arrangement Q.



Arrangement P

LiInP | the Alexandria database | PBEsol | optimized geometry; spin magnetization = 0.0 μB per formula unit; space-group type = No. 42
1.0
3.1622 0.3498 0.0000
-0.3691 3.1600 0.0000
-1.3965 -1.7549 5.7998
Li P In
1 1 1
direct
0.3012 0.3012 0.6025 Li
0.6765 0.6765 0.3530 P
0.0222 0.0222 0.0445 In



Arrangement Q

LiInP | the Alexandria database | PBEsol | optimized geometry; spin magnetization = 0.0 μB per formula unit; space-group type = No. 164
1.0
4.0481 0.0000 0.0000
-2.0241 3.5058 0.0000
0.0000 0.0000 8.7122
Li P In
2 2 2
direct
0.3333 0.6667 0.0918 Li
0.6667 0.3333 0.9082 Li
0.3333 0.6667 0.7963 P
0.6667 0.3333 0.2037 P
0.0000 0.0000 0.6593 In
0.0000 0.0000 0.3407 In



Arrangement R

LiInP | the Alexandria database | PBEsol | optimized geometry; spin magnetization = 0.0 μB per formula unit; space-group type = No. 216
1.0
4.2355 0.0000 0.0000
2.1178 3.6681 0.0000
2.1178 1.2227 3.4583
Li P In
1 1 1
direct
0.2500 0.2500 0.2500 Li
0.0000 0.0000 0.0000 P
0.5000 0.5000 0.5000 In



Which structure is the least stable? The one labeled arrangement P.



Arrangement P

LiIn2Se | the Alexandria database | PBEsol | optimized geometry; spin magnetization = 0.0 μB per formula unit; space-group type = No. 71
1.0
-2.7404 1.5362 1.9158
-2.8364 -1.9978 -2.4552
2.8091 -4.2969 3.9301
In Se Li
2 1 1
direct
0.2983 0.2983 0.5966 In
0.7017 0.7017 0.4034 In
0.0000 0.5000 0.0000 Se
0.5000 0.0000 0.0000 Li



Arrangement Q

LiIn2Se | the Alexandria database | PBEsol | optimized geometry; spin magnetization = 0.0 μB per formula unit; space-group type = No. 10
1.0
-1.4384 2.6983 2.5578
-0.1509 -3.1806 2.9161
5.0220 1.1951 1.5634
Se Li In
1 1 2
direct
0.5000 0.0000 0.5000 Se
0.0000 0.5000 0.5000 Li
0.7436 0.7574 0.0000 In
0.2564 0.2426 0.0000 In



Which structure is the least stable? The one labeled arrangement Q.



Arrangement P

Li2InTe | the Alexandria database | PBEsol | optimized geometry; spin magnetization = 0.0 μB per formula unit; space-group type = No. 216
1.0
5.1813 0.0000 0.0000
2.5906 4.4871 0.0000
2.5906 1.4957 4.2305
Te Li In
1 2 1
direct
0.2500 0.2500 0.2500 Te
0.0000 0.0000 0.0000 Li
0.7500 0.7500 0.7500 Li
0.5000 0.5000 0.5000 In



Arrangement Q

Li2InTe | the Alexandria database | PBEsol | optimized geometry; spin magnetization = 0.0 μB per formula unit; space-group type = No. 225
1.0
-1.3338 -4.7339 0.8300
3.1497 -3.7079 -1.0996
2.1710 -2.5970 3.6634
Te Li In
1 2 1
direct
0.5000 0.5000 0.5000 Te
0.7500 0.7500 0.7500 Li
0.2500 0.2500 0.2500 Li
0.0000 0.0000 0.0000 In



Arrangement R

Li2InTe | the Alexandria database | PBEsol | optimized geometry; spin magnetization = 0.0 μB per formula unit; space-group type = No. 123
1.0
4.0700 0.0000 0.0000
0.0000 4.6059 0.0000
0.0000 0.0000 4.6059
Li Te In
2 1 1
direct
0.0000 0.0000 0.5000 Li
0.0000 0.5000 0.0000 Li
0.5000 0.5000 0.5000 Te
0.5000 0.0000 0.0000 In



Which structure is the least stable? The one labeled arrangement P.



Arrangement P

LiIn2W | the Alexandria database | PBEsol | optimized geometry; spin magnetization = 0.0 μB per formula unit; space-group type = No. 166
1.0
3.0016 0.0000 0.0000
1.5008 2.5994 0.0000
1.5008 0.8665 9.4858
In Li W
2 1 1
direct
0.2497 0.2497 0.2509 In
0.7503 0.7503 0.7491 In
0.5000 0.5000 0.5000 Li
0.0000 0.0000 0.0000 W



Arrangement Q

LiIn2W | the Alexandria database | PBEsol | optimized geometry; spin magnetization = 0.0 μB per formula unit; space-group type = No. 71
1.0
-0.7519 0.6064 -2.8814
4.7900 -0.7832 -1.4149
-2.9522 -4.3650 1.4543
W In Li
1 2 1
direct
0.0000 0.5000 0.0000 W
0.2340 0.2340 0.4680 In
0.7660 0.7660 0.5320 In
0.5000 0.0000 0.0000 Li



Which structure is the least stable? The one labeled arrangement Q.



Arrangement P

Mg5In3 | the Alexandria database | PBEsol | optimized geometry; spin magnetization = 0.0 μB per formula unit; space-group type = No. 65
1.0
4.5083 0.0000 0.0000
0.0000 6.2909 0.0321
0.0000 -0.2274 6.2868
In Mg
3 5
direct
0.5000 0.7661 0.2339 In
0.5000 0.2339 0.7661 In
0.0000 0.5000 0.5000 In
0.0000 0.0000 0.5000 Mg
0.5000 0.2610 0.2610 Mg
0.0000 0.0000 0.0000 Mg
0.5000 0.7390 0.7390 Mg
0.0000 0.5000 0.0000 Mg



Arrangement Q

Mg5In3 | the Alexandria database | PBEsol | optimized geometry; spin magnetization = 0.0 μB per formula unit; space-group type = No. 63
1.0
5.8889 0.0000 0.0000
0.0000 8.5183 0.0000
0.0000 -4.2592 7.3655
In Mg
6 10
direct
0.7500 0.6005 0.0000 In
0.2500 0.3995 0.0000 In
0.2500 0.6000 0.6002 In
0.7500 0.0001 0.6002 In
0.2500 0.9998 0.3998 In
0.7500 0.4000 0.3998 In
0.7500 0.0002 0.2327 Mg
0.5000 0.3333 0.6665 Mg
0.2500 0.2325 0.2327 Mg
0.0000 0.3333 0.6665 Mg
0.5000 0.6667 0.3335 Mg
0.2500 0.9998 0.7673 Mg
0.2500 0.7667 0.0000 Mg
0.0000 0.6667 0.3335 Mg
0.7500 0.2333 0.0000 Mg
0.7500 0.7675 0.7673 Mg



Which structure is the least stable? The one labeled arrangement Q.



Arrangement P

Mg3In4 | the Alexandria database | PBEsol | optimized geometry; spin magnetization = 0.0 μB per formula unit; space-group type = No. 191
1.0
5.6052 0.0000 0.0000
0.0000 5.8950 0.0000
0.0000 -2.9475 5.1052
Mg In
3 4
direct
0.0000 0.0000 0.5000 Mg
0.0000 0.5000 0.5000 Mg
0.0000 0.5000 0.0000 Mg
0.5000 0.6667 0.3333 In
0.7476 0.0000 0.0000 In
0.5000 0.3333 0.6667 In
0.2524 0.0000 0.0000 In



Arrangement Q

Mg3In4 | the Alexandria database | PBEsol | optimized geometry; spin magnetization = 0.0 μB per formula unit; space-group type = No. 139
1.0
-2.0400 3.3458 -0.4345
-3.3739 -2.0223 0.2682
2.7198 0.7214 10.6752
In Mg
4 3
direct
0.1446 0.1446 0.2891 In
0.4283 0.4283 0.8567 In
0.5717 0.5717 0.1433 In
0.8554 0.8554 0.7109 In
0.2870 0.2870 0.5740 Mg
0.0000 0.0000 0.0000 Mg
0.7130 0.7130 0.4260 Mg



Which structure is the least stable? The one labeled arrangement P.



Arrangement P

Mg3InN | the Alexandria database | PBEsol | optimized geometry; spin magnetization = 2.0 μB per formula unit; space-group type = No. 221
1.0
5.2401 0.0000 0.0000
0.0000 5.2401 0.0000
0.0000 0.0000 5.2401
Mg In N
3 1 1
direct
0.0000 0.5000 0.0000 Mg
0.5000 0.0000 0.0000 Mg
0.0000 0.0000 0.5000 Mg
0.0000 0.0000 0.0000 In
0.5000 0.5000 0.5000 N



Arrangement Q

Mg3InN | the Alexandria database | PBEsol | optimized geometry; spin magnetization = 0.0 μB per formula unit; space-group type = No. 221
1.0
4.3586 0.0000 0.0000
0.0000 4.3586 0.0000
0.0000 0.0000 4.3586
Mg N In
3 1 1
direct
0.5000 0.0000 0.0000 Mg
0.0000 0.0000 0.5000 Mg
0.0000 0.5000 0.0000 Mg
0.0000 0.0000 0.0000 N
0.5000 0.5000 0.5000 In



Which structure is the least stable? The one labeled arrangement P.



Arrangement P

MgIn2Sb | the Alexandria database | PBEsol | optimized geometry; spin magnetization = 0.0 μB per formula unit; space-group type = No. 71
1.0
-2.2561 -2.4836 2.2346
3.2693 -0.4731 2.7750
-2.4818 6.0709 0.6053
In Mg Sb
2 1 1
direct
0.2090 0.2090 0.4179 In
0.7910 0.7910 0.5821 In
0.0000 0.5000 0.0000 Mg
0.5000 0.0000 0.0000 Sb



Arrangement Q

MgIn2Sb | the Alexandria database | PBEsol | optimized geometry; spin magnetization = 0.0 μB per formula unit; space-group type = No. 225
1.0
-3.3896 1.4836 -3.7162
0.3596 -2.0096 -4.8304
-3.6410 -3.3593 -1.7201
In Sb Mg
2 1 1
direct
0.7500 0.7500 0.7500 In
0.2500 0.2500 0.2500 In
0.5000 0.5000 0.5000 Sb
0.0000 0.0000 0.0000 Mg



Arrangement R

MgIn2Sb | the Alexandria database | PBEsol | optimized geometry; spin magnetization = 0.0 μB per formula unit; space-group type = No. 123
1.0
-2.3832 2.4244 -0.0487
-2.4193 -2.3725 0.2796
0.4150 0.5787 8.4998
Sb In Mg
1 2 1
direct
0.5000 0.5000 0.5000 Sb
0.0000 0.0000 0.7624 In
0.0000 0.0000 0.2376 In
0.5000 0.5000 0.0000 Mg



Which structure is the least stable? The one labeled arrangement Q.



Arrangement P

MgInTc2 | the Alexandria database | PBEsol | optimized geometry; spin magnetization = 0.0 μB per formula unit; space-group type = No. 10
1.0
2.7624 0.0000 -0.0044
0.0000 4.5063 0.0000
-0.9750 0.0000 5.2101
In Mg Tc
1 1 2
direct
0.5000 0.5000 0.0000 In
0.0000 0.5000 0.5000 Mg
0.7223 0.0000 0.7304 Tc
0.2777 0.0000 0.2696 Tc



Arrangement Q

MgInTc2 | the Alexandria database | PBEsol | optimized geometry; spin magnetization = 0.0 μB per formula unit; space-group type = No. 123
1.0
2.7403 0.0000 0.0000
0.0000 2.7403 0.0000
0.0000 0.0000 8.7268
Tc In Mg
2 1 1
direct
0.0000 0.0000 0.2508 Tc
0.0000 0.0000 0.7492 Tc
0.5000 0.5000 0.0000 In
0.5000 0.5000 0.5000 Mg



Arrangement R

MgInTc2 | the Alexandria database | PBEsol | optimized geometry; spin magnetization = 0.0 μB per formula unit; space-group type = No. 99
1.0
-0.9616 -1.7110 2.2329
1.8686 -2.1524 -0.8446
5.5130 2.9634 4.6448
In Mg Tc
1 1 2
direct
0.0000 0.0000 0.4725 In
0.5000 0.5000 0.7863 Mg
0.5000 0.5000 0.2101 Tc
0.0000 0.0000 0.0311 Tc



Which structure is the least stable? The one labeled arrangement Q.